[1]
Material: Er6GaRu5
Method: DFT, PBE
State: optimized geometry

Lattice parameters (Å, degrees): 4.7956 6.8475 8.3000 114.36 106.80 90.00
Closest atoms and distances in Å follow each position.
Element x y z (fractional)
1 Ru 0.3363 0.8366 0.6732  8 Er 2.91-2.97
2 Ru 0.6637 0.1634 0.3268  8 Er 2.91-2.97
3 Ru 0.0000 0.5000 0.0000  8 Er 2.90-2.97
4 Ru 0.3332 0.3332 0.6664  8 Er 2.89-2.92
5 Ru 0.6668 0.6668 0.3336  8 Er 2.89-2.92
6 Er 0.8291 0.0848 0.6582  7 Ru 2.91-2.97, 1 Ga 3.01
7 Er 0.5000 0.7380 0.0000  6 Ru 2.89-2.95, 2 Ga 2.99
8 Er 0.8291 0.5734 0.6582  7 Ru 2.91-2.97, 1 Ga 3.01
9 Er 0.1709 0.4266 0.3418  7 Ru 2.91-2.97, 1 Ga 3.01
10 Er 0.5000 0.2620 0.0000  6 Ru 2.89-2.95, 2 Ga 2.99
11 Er 0.1709 0.9152 0.3418  7 Ru 2.91-2.97, 1 Ga 3.01
12 Ga 0.0000 0.0000 0.0000  8 Er 2.99-3.01, 4 Ru 3.35

## Properties
**Fermi-level density of states**: 5.16 states/eV per cell
**Calculated volume**: 19.6 Å³ per atom
**E**: -6.86 eV/atom
**Space group**: Immm

=====

[2]
Material: RbSe2BrN
Method: DFT, PBE
State: optimized geometry

Lattice parameters (Å, degrees): 6.7022 6.7022 5.7304 90.00 90.00 90.00
Closest atoms and distances in Å follow each position.
Element x y z (fractional)
1 Se 0.5000 0.0000 0.0000  2 Rb 3.35
2 Se 0.0000 0.5000 0.0000  2 Rb 3.35
3 Rb 0.0000 0.0000 0.0000  2 N 2.87
4 N 0.0000 0.0000 0.5000  2 Rb 2.87
5 Br 0.5000 0.5000 0.5000  8 Se 4.41, 4 N 4.74

## Properties
**Polymorph energy (0 for the lowest one)**: 1230 meV per atom
**Fermi-level density of states**: 3.71 states/eV per cell
**Calculated volume**: 51.5 Å³ per atom
**Space group**: P4/mmm

=====

| no. | size of the total moment (μB per formula unit) |
| --- | --- |
| 1 | 0.0 |
| 2 | 1.2 |